Entry 1:
Here is NaPmPaSe4 after structural relaxation from Alexandria via LeMat-Bulk. Energies are from PBE.

As for the energy relative to the elements, uncorrected: -146.21 kJ/mol of atoms. The value obtained for the density is 5.23 Mg/m³. The total moment is 4.1 μB per cell.

The space group is Imma (No. 74) and the conventional cell measures 8.6014, 8.6375 and 12.2089 Å, with angles of 90.00, 90.00 and 90.00 degrees. The inequivalent atoms are Na at (0.0000, 0.2500, 0.1219), Pm at (0.0000, 0.0000, 0.5000), Pa at (0.2500, 0.2500, 0.7500), Se at (0.0000, 0.0269, 0.7425) and Se at (0.2324, 0.2500, 0.5171).


Entry 2:
Here is LiCuOs2 after structural relaxation from Alexandria via LeMat-Bulk. Energies are from PBE.

Its excess energy over the best structure of this formula in the dataset is 0.445 eV per atom. The value obtained for the density is 14.66 Mg/m³. For the formation enthalpy at 0 K, the calculation gives 636.0 meV per atom. The total moment is 0.0 μB per cell.

The space group is P4/mmm (No. 123) and the conventional cell measures 3.0940, 3.0940 and 5.3373 Å, with angles of 90.00, 90.00 and 90.00 degrees. The inequivalent atoms are Li at (0.0000, 0.0000, 0.0000), Cu at (0.0000, 0.0000, 0.5000) and Os at (0.5000, 0.5000, 0.2282).


Entry 3:
Here is CsRbBa2Pd after structural relaxation from Alexandria via LeMat-Bulk. Energies are from PBE.

Its excess energy over the best structure of this formula in the dataset is 0.000 eV per atom. The value obtained for the density is 3.25 Mg/m³. For the formation enthalpy at 0 K, the calculation gives -80.8 meV per atom. The total moment is 0.0 μB per cell.

The space group is P4/mmm (No. 123) and the conventional cell measures 6.3881, 6.3881 and 7.4999 Å, with angles of 90.00, 90.00 and 90.00 degrees. The inequivalent atoms are Cs at (0.0000, 0.0000, 0.0000), Rb at (0.5000, 0.5000, 0.0000), Ba at (0.0000, 0.5000, 0.5000) and Pd at (0.0000, 0.0000, 0.5000).


Entry 4:
Here is Tl2TcBr after structural relaxation from Alexandria via LeMat-Bulk. Energies are from PBE.

Its excess energy over the best structure of this formula in the dataset is 0.419 eV per atom. As for the energy relative to the elements, uncorrected: 73.34 kJ/mol of atoms. The value obtained for the density is 7.08 Mg/m³. The total moment is 12.4 μB per cell.

The space group is I-42d (No. 122) and the conventional cell measures 5.5010, 5.5010 and 18.1878 Å, with angles of 90.00, 90.00 and 90.00 degrees. The inequivalent atoms are Tl at (0.1636, 0.2500, 0.1250), Tc at (0.0000, 0.0000, 0.0000) and Br at (0.0000, 0.0000, 0.5000).


Entry 5:
Here is Zr2Cd2I after structural relaxation from Alexandria via LeMat-Bulk. Energies are from PBE.

As for the energy relative to the elements, uncorrected: 0.25 kJ/mol of atoms. The value obtained for the density is 7.13 Mg/m³. The total moment is 0.0 μB per cell.

The space group is P4/mbm (No. 127) and the conventional cell measures 7.4770, 7.4770 and 4.4528 Å, with angles of 90.00, 90.00 and 90.00 degrees. The inequivalent atoms are Zr at (0.1488, 0.3512, 0.0000), Cd at (0.1461, 0.6461, 0.5000) and I at (0.0000, 0.0000, 0.0000).


Entry 6:
Here is LaAsPdF after structural relaxation from Alexandria via LeMat-Bulk. Energies are from PBE.

As for the energy relative to the elements, uncorrected: -193.83 kJ/mol of atoms. The value obtained for the density is 7.59 Mg/m³. The total moment is 0.0 μB per cell.

The space group is P4/nmm (No. 129, origin choice 2) and the conventional cell measures 4.1323, 4.1323 and 8.6965 Å, with angles of 90.00, 90.00 and 90.00 degrees. The inequivalent atoms are La at (0.2500, 0.2500, 0.1842), As at (0.2500, 0.2500, 0.6774), Pd at (0.2500, 0.7500, 0.5000) and F at (0.2500, 0.7500, 0.0000).


Entry 7:
Here is LiOsRh after structural relaxation from Alexandria via LeMat-Bulk. Energies are from PBE.

Its excess energy over the best structure of this formula in the dataset is 0.482 eV per atom. The value obtained for the density is 10.55 Mg/m³. For the formation enthalpy at 0 K, the calculation gives 471.9 meV per atom. The total moment is 0.0 μB per cell.

The space group is F-43m (No. 216) and the conventional cell measures 5.7389, 5.7389 and 5.7389 Å, with angles of 90.00, 90.00 and 90.00 degrees. The inequivalent atoms are Li at (0.0000, 0.0000, 0.0000), Os at (0.0000, 0.0000, 0.5000) and Rh at (0.2500, 0.2500, 0.2500).


Entry 8:
Here is BaLaIn2I8 after structural relaxation from Alexandria via LeMat-Bulk. Energies are from PBE.

As for the energy relative to the elements, uncorrected: -104.10 kJ/mol of atoms. The value obtained for the density is 4.27 Mg/m³. The total moment is 0.0 μB per cell.

The space group is P2/m (No. 10) and the conventional cell measures 7.4579, 10.0944 and 7.8668 Å, with angles of 90.00, 91.07 and 90.00 degrees. The inequivalent atoms are Ba at (0.0000, 0.0000, 0.0000), La at (0.0000, 0.5000, 0.0000), In at (0.5000, 0.2526, 0.5000), I at (0.2425, 0.2694, 0.8478), I at (0.2538, 0.5000, 0.3302) and I at (0.2833, 0.0000, 0.3529).


Entry 9:
Here is SrGdZnAg after structural relaxation from Alexandria via LeMat-Bulk. Energies are from PBE.

The value obtained for the density is 6.52 Mg/m³. For the formation enthalpy at 0 K, the calculation gives -205.5 meV per atom. The total moment is 28.8 μB per cell.

The space group is F-43m (No. 216) and the conventional cell measures 7.5247, 7.5247 and 7.5247 Å, with angles of 90.00, 90.00 and 90.00 degrees. The inequivalent atoms are Sr at (0.0000, 0.0000, 0.0000), Gd at (0.0000, 0.0000, 0.5000), Zn at (0.2500, 0.2500, 0.2500) and Ag at (0.2500, 0.2500, 0.7500).


Entry 10:
Here is BaCa3Pd after structural relaxation from Alexandria via LeMat-Bulk. Energies are from PBE.

Its excess energy over the best structure of this formula in the dataset is 0.012 eV per atom. The value obtained for the density is 3.03 Mg/m³. For the formation enthalpy at 0 K, the calculation gives -299.0 meV per atom. The total moment is 0.0 μB per cell.

The space group is P-1 (No. 2) and the conventional cell measures 6.8230, 7.1257 and 8.2260 Å, with angles of 90.01, 90.01 and 93.98 degrees. The inequivalent atoms are Ba at (0.2407, 0.3275, 0.0004), Ca at (0.2442, 0.3422, 0.5003), Ca at (0.2598, 0.8398, 0.2669), Ca at (0.2595, 0.8397, 0.7332), Pd at (0.0000, 0.0000, 0.5000) and Pd at (0.5000, 0.0000, 0.0000).


Entry 11:
Here is RePbAu2 after structural relaxation from Alexandria via LeMat-Bulk. Energies are from PBE.

The value obtained for the density is 16.43 Mg/m³. For the formation enthalpy at 0 K, the calculation gives 637.5 meV per atom. The total moment is 0.9 μB per cell.

The space group is P4mm (No. 99) and the conventional cell measures 2.9829, 2.9829 and 8.9426 Å, with angles of 90.00, 90.00 and 90.00 degrees. The inequivalent atoms are Re at (0.0000, 0.0000, 0.0000), Pb at (0.5000, 0.5000, 0.7473), Au at (0.0000, 0.0000, 0.4376) and Au at (0.5000, 0.5000, 0.2079).


Entry 12:
Here is CuPbBr after structural relaxation from Alexandria via LeMat-Bulk. Energies are from PBE.

Its excess energy over the best structure of this formula in the dataset is 0.096 eV per atom. As for the energy relative to the elements, uncorrected: 0.83 kJ/mol of atoms. The value obtained for the density is 7.95 Mg/m³. The total moment is 0.0 μB per cell.

The space group is I4mm (No. 107) and the conventional cell measures 3.5303, 3.5303 and 11.7477 Å, with angles of 90.00, 90.00 and 90.00 degrees. The inequivalent atoms are Cu at (0.0000, 0.0000, 0.0000), Pb at (0.0000, 0.0000, 0.6353) and Br at (0.0000, 0.0000, 0.3690).


Entry 13:
Here is Y2PaTcC4 after structural relaxation from Alexandria via LeMat-Bulk. Energies are from PBE.

The value obtained for the density is 7.42 Mg/m³. For the formation enthalpy at 0 K, the calculation gives -39.2 meV per atom. The total moment is 0.0 μB per cell.

The space group is Cmcm (No. 63) and the conventional cell measures 3.4555, 11.8242 and 12.1603 Å, with angles of 90.00, 90.00 and 90.00 degrees. The inequivalent atoms are Y at (0.0000, 0.1307, 0.0417), Pa at (0.0000, 0.4066, 0.2500), Tc at (0.0000, 0.3344, 0.7500), C at (0.0000, 0.0613, 0.2500), C at (0.0000, 0.2267, 0.6351) and C at (0.0000, 0.5000, 0.0000).


Entry 14:
Here is PmFeGeH2 after structural relaxation from Alexandria via LeMat-Bulk. Energies are from PBE.

As for the uncorrected energy: -5.369 eV/atom. The value obtained for the density is 7.68 Mg/m³. The total moment is 0.0 μB per cell.

The space group is Cmcm (No. 63) and the conventional cell measures 3.8875, 10.6232 and 5.7688 Å, with angles of 90.00, 90.00 and 90.00 degrees. The inequivalent atoms are Pm at (0.0000, 0.2066, 0.2500), Fe at (0.0000, 0.5000, 0.0000), Ge at (0.0000, 0.0689, 0.7500) and H at (0.0000, 0.3496, 0.5549).


Entry 15:
Here is ZrInGe3 after structural relaxation from Alexandria via LeMat-Bulk. Energies are from PBE.

Its excess energy over the best structure of this formula in the dataset is 0.000 eV per atom. The value obtained for the density is 4.91 Mg/m³. For the formation enthalpy at 0 K, the calculation gives 314.6 meV per atom. The total moment is 0.0 μB per cell.

The space group is Pm-3m (No. 221) and the conventional cell measures 5.2326, 5.2326 and 5.2326 Å, with angles of 90.00, 90.00 and 90.00 degrees. The inequivalent atoms are Zr at (0.0000, 0.0000, 0.0000), In at (0.5000, 0.5000, 0.5000) and Ge at (0.0000, 0.0000, 0.5000).


Entry 16:
Here is TbPr6Y2 after structural relaxation from Alexandria via LeMat-Bulk. Energies are from PBE.

Its excess energy over the best structure of this formula in the dataset is 0.531 eV per atom. The value obtained for the density is 5.30 Mg/m³. For the formation enthalpy at 0 K, the calculation gives 601.5 meV per atom. The total moment is 0.0 μB per cell.

The space group is P4_2/mnm (No. 136) and the conventional cell measures 8.3699, 8.3699 and 10.5810 Å, with angles of 90.00, 90.00 and 90.00 degrees. The inequivalent atoms are Tb at (0.0000, 0.0000, 0.0000), Pr at (0.2390, 0.2390, 0.1661), Pr at (0.2409, 0.2409, 0.5000) and Y at (0.0000, 0.0000, 0.3340).